No. 1
{
  "formula": "Th5TlFe",
  "functional": "PBE",
  "state": "relaxed",
  "space_group": "P4/mmm (123)",
  "crystal_system": "tetragonal",
  "m_tot_mub_per_atom": 0.0003,
  "delta_e_f_ev_per_atom": 0.059,
  "lattice_angstrom": [[-0.473, -1.533, -4.555], [4.655, -1.302, -0.045], [-2.144, -7.766, 2.835]],
  "species": ["Th", "Th", "Th", "Th", "Th", "Tl", "Fe"],
  "fractional_positions": [[0.000, 0.500, 0.802], [0.000, 0.500, 0.198], [0.500, 0.000, 0.802], [0.500, 0.000, 0.198], [0.500, 0.500, 0.500], [0.000, 0.000, 0.500], [0.500, 0.500, 0.000]]
}

=====

No. 2
{
  "formula": "KVCd",
  "functional": "PBE",
  "state": "relaxed",
  "space_group": "F-43m (216)",
  "polymorph_energy_mev_per_atom": 728,
  "crystal_system": "cubic",
  "m_tot_mub_per_atom": 1.4103,
  "delta_e_f_ev_per_atom": 1.045,
  "lattice_angstrom": [[-3.504, 0.023, 3.900], [-5.004, 1.221, -0.979], [-3.696, -3.711, 0.225]],
  "species": ["K", "Cd", "V"],
  "fractional_positions": [[0.250, 0.250, 0.250], [0.000, 0.000, 0.000], [0.750, 0.750, 0.750]]
}

=====

No. 3
{
  "formula": "Dy2ZnPd9",
  "functional": "PBE",
  "state": "relaxed",
  "space_group": "P4/mmm (123)",
  "crystal_system": "tetragonal",
  "m_tot_mub_per_atom": 0.0001,
  "delta_e_f_ev_per_atom": -0.677,
  "lattice_angstrom": [[4.084, 0.000, 0.000], [0.000, 4.084, 0.000], [0.000, 0.000, 12.001]],
  "species": ["Dy", "Dy", "Zn", "Pd", "Pd", "Pd", "Pd", "Pd", "Pd", "Pd", "Pd", "Pd"],
  "fractional_positions": [[0.000, 0.000, 0.325], [0.000, 0.000, 0.675], [0.000, 0.000, 0.000], [0.500, 0.500, 0.000], [0.500, 0.500, 0.328], [0.500, 0.500, 0.672], [0.500, 0.000, 0.153], [0.500, 0.000, 0.500], [0.500, 0.000, 0.847], [0.000, 0.500, 0.153], [0.000, 0.500, 0.500], [0.000, 0.500, 0.847]]
}

=====

No. 4
{
  "formula": "InGa9Sn2",
  "functional": "PBE",
  "state": "relaxed",
  "space_group": "P4/mmm (123)",
  "polymorph_energy_mev_per_atom": 0,
  "crystal_system": "tetragonal",
  "m_tot_mub_per_atom": 0.0000,
  "delta_e_f_ev_per_atom": 0.048,
  "lattice_angstrom": [[4.179, 0.000, 0.000], [0.000, 4.179, 0.000], [0.000, 0.000, 14.559]],
  "species": ["In", "Ga", "Ga", "Ga", "Ga", "Ga", "Ga", "Ga", "Ga", "Ga", "Sn", "Sn"],
  "fractional_positions": [[0.000, 0.000, 0.000], [0.500, 0.500, 0.000], [0.500, 0.500, 0.321], [0.500, 0.500, 0.679], [0.500, 0.000, 0.162], [0.500, 0.000, 0.500], [0.500, 0.000, 0.838], [0.000, 0.500, 0.162], [0.000, 0.500, 0.500], [0.000, 0.500, 0.838], [0.000, 0.000, 0.335], [0.000, 0.000, 0.665]]
}

=====

No. 5
{
  "formula": "NaSn3C",
  "functional": "PBE",
  "state": "relaxed",
  "space_group": "Pm-3m (221)",
  "polymorph_energy_mev_per_atom": 1193,
  "crystal_system": "cubic",
  "m_tot_mub_per_atom": 0.2706,
  "delta_e_f_ev_per_atom": 1.936,
  "lattice_angstrom": [[5.385, 0.000, 0.000], [0.000, 5.385, 0.000], [0.000, 0.000, 5.385]],
  "species": ["Na", "C", "Sn", "Sn", "Sn"],
  "fractional_positions": [[0.000, 0.000, 0.000], [0.500, 0.500, 0.500], [0.000, 0.500, 0.000], [0.000, 0.000, 0.500], [0.500, 0.000, 0.000]]
}

=====

No. 6
{
  "formula": "ZnHgTe2",
  "functional": "PBE",
  "state": "relaxed",
  "space_group": "Imm2 (44)",
  "crystal_system": "orthorhombic",
  "m_tot_mub_per_atom": 0.0000,
  "raw_formation_energy_mev_per_atom": 135,
  "lattice_angstrom": [[5.800, -0.136, 0.001], [0.302, 5.793, -0.001], [-1.654, -4.335, 3.482]],
  "species": ["Hg", "Te", "Te", "Zn"],
  "fractional_positions": [[0.273, 0.773, 0.500], [0.002, 0.002, 0.000], [0.727, 0.227, 0.500], [0.498, 0.498, 0.000]]
}